Record 1
Computed, not measured: a geometry-optimized Sm4Ho7Th structure at the PBE-GGA level of DFT.

Lattice parameters (Å, degrees): 7.112 7.964 7.969 95.87 102.61 116.48
Space group P-1 (No. 2)
Unique sites:
Sm 0.006 0.170 0.169 x2
Sm 0.254 0.666 0.171 x2
Ho 0.000 0.500 0.500 x1
Ho 0.252 0.005 0.500 x2
Ho 0.254 0.336 0.829 x2
Ho 0.500 0.170 0.170 x2
Th 0.500 0.500 0.500 x1

Offset from the most stable computed form: 0.00 kJ per mole of atoms
Formation energy from the elements: 19.9 meV/atom

Record 2
Computed, not measured: a geometry-optimized CaTl2Pb structure at the PBE-GGA level of DFT.

Lattice parameters (Å, degrees): 5.0654 5.0654 17.9184 90.00 90.00 120.00
Space group R3m (No. 160, hexagonal axes)
Unique sites:
Ca 0.0000 0.0000 0.0000 x3
Tl 0.0000 0.0000 0.3918 x3
Tl 0.0000 0.0000 0.5720 x3
Pb 0.0000 0.0000 0.8037 x3

Formation energy from the elements: -113.6 meV/atom

Record 3
Computed, not measured: a geometry-optimized Zr2NbReMo structure at the PBE-GGA level of DFT.

Lattice parameters (Å, degrees): 4.949 4.949 4.656 90.00 90.00 90.00
Space group P4/mmm (No. 123)
Unique sites:
Zr 0.000 0.500 0.000 x2
Nb 0.000 0.000 0.500 x1
Re 0.500 0.500 0.500 x1
Mo 0.000 0.000 0.000 x1

Formation energy from the elements: 1416.8 meV/atom

Record 4
Computed, not measured: a geometry-optimized Ac2SmCuS5 structure at the PBE-GGA level of DFT.

Lattice parameters (Å, degrees): 4.090 16.981 12.421 90.00 90.00 90.00
Space group Cmc2_1 (No. 36)
Unique sites:
Ac 0.000 0.116 0.000 x4
Ac 0.000 0.119 0.650 x4
Sm 0.000 0.179 0.330 x4
Cu 0.000 0.449 0.731 x4
S 0.000 0.018 0.316 x4
S 0.000 0.302 0.987 x4
S 0.000 0.313 0.672 x4
S 0.000 0.344 0.325 x4
S 0.000 0.495 0.062 x4

Uncorrected formation energy: -1.839 eV/atom

Record 5
Computed, not measured: a geometry-optimized Pr8Tl3Ga2 structure at the PBE-GGA level of DFT.

Lattice parameters (Å, degrees): 9.200 16.106 5.607 90.00 90.00 90.00
Space group Cmmm (No. 65)
Unique sites:
Pr 0.000 0.110 0.000 x4
Pr 0.000 0.310 0.000 x4
Pr 0.214 0.374 0.500 x8
Tl 0.000 0.000 0.500 x2
Tl 0.176 0.500 0.000 x4
Ga 0.000 0.224 0.500 x4

Formation energy from the elements: -225.2 meV/atom

Record 6
Computed, not measured: a geometry-optimized YC structure at the PBE-GGA level of DFT.

Lattice parameters (Å, degrees): 3.535 3.535 10.728 90.00 90.00 90.00
Space group I4_1/amd (No. 141, origin choice 2)
Unique sites:
Y 0.000 0.250 0.375 x4
C 0.000 0.250 0.875 x4

Offset from the most stable computed form: 76.57 kJ per mole of atoms
Formation energy from the elements: 579.2 meV/atom

Record 7
Computed, not measured: a geometry-optimized Ti7O13 structure at the PBE-GGA level of DFT.

Lattice parameters (Å, degrees): 5.592 7.189 11.408 83.96 89.28 71.37
Space group P-1 (No. 2)
Unique sites:
Ti 0.000 0.000 0.000 x1
Ti 0.000 0.500 0.000 x1
Ti 0.206 0.289 0.552 x2
Ti 0.206 0.790 0.556 x2
Ti 0.214 0.487 0.293 x2
Ti 0.216 0.983 0.293 x2
Ti 0.387 0.764 0.855 x2
Ti 0.391 0.263 0.853 x2
O 0.033 0.925 0.832 x2
O 0.058 0.068 0.592 x2
O 0.114 0.232 0.949 x2
O 0.127 0.236 0.376 x2
O 0.148 0.366 0.706 x2
O 0.198 0.552 0.473 x2
O 0.244 0.405 0.141 x2
O 0.281 0.529 0.899 x2
O 0.319 0.713 0.250 x2
O 0.363 0.832 0.014 x2
O 0.425 0.687 0.683 x2
O 0.448 0.843 0.445 x2
O 0.498 0.005 0.205 x2

Uncorrected formation energy: -2.987 eV/atom

Record 8
Computed, not measured: a geometry-optimized La2NbAsS structure at the PBE-GGA level of DFT.

Lattice parameters (Å, degrees): 5.749 5.749 4.756 90.00 90.00 90.00
Space group P4/mmm (No. 123)
Unique sites:
La 0.000 0.500 0.000 x2
Nb 0.000 0.000 0.500 x1
As 0.000 0.000 0.000 x1
S 0.500 0.500 0.500 x1

Uncorrected formation energy: -0.170 eV/atom

Record 9
Computed, not measured: a geometry-optimized MgInRe2Cl structure at the PBE-GGA level of DFT.

Lattice parameters (Å, degrees): 4.389 4.389 5.321 90.00 90.00 90.00
Space group P4/mmm (No. 123)
Unique sites:
Mg 0.000 0.000 0.000 x1
In 0.500 0.500 0.000 x1
Re 0.000 0.500 0.500 x2
Cl 0.500 0.500 0.500 x1

Uncorrected formation energy: 1.472 eV/atom

Record 10
Computed, not measured: a geometry-optimized CaTmCdRh structure at the PBE-GGA level of DFT.

Lattice parameters (Å, degrees): 7.121 7.121 7.121 90.00 90.00 90.00
Space group F-43m (No. 216)
Unique sites:
Ca 0.000 0.000 0.000 x4
Tm 0.000 0.000 0.500 x4
Cd 0.250 0.250 0.750 x4
Rh 0.250 0.250 0.250 x4

Formation energy from the elements: -415.3 meV/atom

Record 11
Computed, not measured: a geometry-optimized DyHo3 structure at the PBE-GGA level of DFT.

Lattice parameters (Å, degrees): 7.1804 7.1804 5.6069 90.00 90.00 120.00
Space group P6_3/mmc (No. 194)
Unique sites:
Dy 0.3333 0.6667 0.2500 x2
Ho 0.1665 0.3330 0.7500 x6

Offset from the most stable computed form: 0.31 kJ per mole of atoms
Formation energy from the elements: 6.7 meV/atom

Record 12
Computed, not measured: a geometry-optimized Cd4ReSi structure at the PBE-GGA level of DFT.

Lattice parameters (Å, degrees): 7.790 7.790 7.790 90.00 90.00 90.00
Space group F-43m (No. 216)
Unique sites:
Cd 0.124 0.124 0.124 x16
Re 0.250 0.250 0.750 x4
Si 0.000 0.000 0.500 x4

Uncorrected formation energy: 0.909 eV/atom